Below is K3CaAg after structural relaxation, with properties calculated at the PBE level.

Values from the calculation:
As for the polymorph energy (0 for the lowest one): 0 meV/atom. The value obtained for the total energy is -7.05 eV/cell. The calculated density is 1.56 g/cm³. Its formation energy is 0.218 eV/atom. The density of states at the Fermi level comes out at 5.39 states/eV/cell.

```
K3CaAg
1.0
6.566 0.000 0.000
0.000 6.566 0.000
0.000 0.000 6.566
K Ca Ag
3 1 1
Direct
0.000 0.000 0.500
0.000 0.500 0.000
0.500 0.000 0.000
0.500 0.500 0.500
0.000 0.000 0.000
```


Below is K2Ca4Ag after structural relaxation, with properties calculated at the PBE level.

Values from the calculation:
The value obtained for the total energy is -24.53 eV/cell. The calculated density is 1.63 g/cm³. Its formation energy is 0.113 eV/atom. The density of states at the Fermi level comes out at 11.02 states/eV/cell.

```
K2Ca4Ag
1.0
5.887 0.000 0.000
0.000 5.887 0.000
0.000 0.000 20.396
K Ca Ag
4 8 2
Direct
0.000 0.000 0.156
0.000 0.000 0.844
0.500 0.500 0.344
0.500 0.500 0.656
0.000 0.000 0.356
0.000 0.000 0.644
0.000 0.500 0.000
0.000 0.500 0.500
0.500 0.000 0.000
0.500 0.000 0.500
0.500 0.500 0.144
0.500 0.500 0.856
0.000 0.000 0.500
0.500 0.500 0.000
```


Below is KCa2Ag2 after structural relaxation, with properties calculated at the PBE level.

Values from the calculation:
As for the polymorph energy (0 for the lowest one): 58 meV/atom. The value obtained for the total energy is -22.38 eV/cell. The calculated density is 3.28 g/cm³. Its formation energy is -0.077 eV/atom. The density of states at the Fermi level comes out at 5.32 states/eV/cell.

```
KCa2Ag2
1.0
5.158 0.000 0.000
0.000 5.158 0.000
0.000 0.000 12.742
K Ca Ag
2 4 4
Direct
0.000 0.000 0.000
0.500 0.500 0.500
0.000 0.500 0.250
0.000 0.500 0.750
0.500 0.000 0.250
0.500 0.000 0.750
0.000 0.000 0.390
0.000 0.000 0.610
0.500 0.500 0.110
0.500 0.500 0.890
```


Below is KCaAg3 after structural relaxation, with properties calculated at the PBE level.

Values from the calculation:
As for the polymorph energy (0 for the lowest one): 0 meV/atom. The value obtained for the total energy is -10.08 eV/cell. The calculated density is 3.48 g/cm³. Its formation energy is 0.315 eV/atom. The density of states at the Fermi level comes out at 0.25 states/eV/cell.

```
KCaAg3
1.0
5.770 0.000 0.000
0.000 5.770 0.000
0.000 0.000 5.770
K Ca Ag
1 1 3
Direct
0.000 0.000 0.000
0.500 0.500 0.500
0.000 0.500 0.500
0.500 0.000 0.500
0.500 0.500 0.000
```